First-principles (PBE) data for an optimized crystal structure of SiIrPd2Cl, as listed in Alexandria.

Unit cell a=4.535 b=4.618 c=4.535 alpha=90.00 beta=90.00 gamma=90.00
Site moments in Bohr magnetons follow the coordinates.
Sites, in units of the cell vectors:
Pd 0.500 0.000 0.000  0.05
Cl 0.000 0.500 0.000  0.10
Pd 0.000 0.000 0.500  0.01
Ir 0.500 0.500 0.500  1.62
Si 0.000 0.000 0.000  0.00

## Properties
**DFT total energy**: -4.443 eV/atom
**SG**: P4/mmm
**Formation energy from raw total energies**: 0.860 eV/atom
**D(E_F)**: 1.109 states/eV per atom